# RbTiTc2Pd

Crystalline RbTiTc2Pd at its relaxed geometry (PBE-GGA, Alexandria).

abc: 4.9284 4.8677 4.9284
angles: 90.00 90.00 90.00
Closest atoms and distances in Å follow each position.
Positions (direct):
Ti1 0.0000 0.5000 0.0000  2 Pd 2.43
Pd1 0.0000 0.0000 0.0000  2 Ti 2.43, 4 Tc 2.46
Rb1 0.5000 0.5000 0.5000  8 Tc 3.46, 4 Ti 3.48
Tc1 0.0000 0.0000 0.5000  2 Pd 2.46
Tc2 0.5000 0.0000 0.0000  2 Pd 2.46

Calculated values
- Energy of formation from the pure elements: 1.682 eV per atom
- Space-group type: P4/mmm, No. 123
- Calculated density: 6.120 g/cm³
- V: 23.65 Å³ per atom
- Total magnetization: 0.439 μB/cell